1.
First-principles (GGA-PBE) data for Zr4Bi5H after structural relaxation, as listed in Alexandria via LeMat-Bulk.

**DFT total energy**: -58.3 eV/cell
**Space group**: C2/m (12)

Unit cell a=3.2830 b=8.9215 c=8.7414 alpha=95.45 beta=100.82 gamma=90.00
Fractional coordinates of all 10 atoms:
H  0.5000  0.0000  0.0000
Bi  0.8445  0.6288  0.6891
Zr  0.0089  0.8280  0.0179
Zr  0.6496  0.0649  0.2992
Zr  0.3504  0.9351  0.7008
Bi  0.1555  0.3712  0.3109
Bi  0.1824  0.7825  0.3649
Bi  0.8176  0.2175  0.6351
Bi  0.5000  0.5000  0.0000
Zr  0.9911  0.1720  0.9821

2.
First-principles (GGA-PBE) data for Zr6BiH after structural relaxation, as listed in Alexandria via LeMat-Bulk.

**DFT total energy**: -57.6 eV/cell
**Space group**: P-1 (2)

Unit cell a=5.8387 b=5.8616 c=7.1845 alpha=66.25 beta=66.60 gamma=60.17
Fractional coordinates of all 8 atoms:
Zr  0.7531  0.0290  0.8120
Bi  0.5000  0.5000  0.5000
Zr  0.2469  0.9710  0.1880
Zr  0.6007  0.2461  0.1867
Zr  0.3993  0.7539  0.8133
H  0.0000  0.0000  0.0000
Zr  0.9690  0.5963  0.1907
Zr  0.0310  0.4037  0.8093

3.
First-principles (GGA-PBE) data for ZrBiH3 after structural relaxation, as listed in Alexandria via LeMat-Bulk.

**Polymorph energy (0 for the lowest one)**: 0.0 meV per atom
**Space group**: Pm-3m (221)

Unit cell a=3.9510 b=3.9510 c=3.9510 alpha=90.00 beta=90.00 gamma=90.00
Fractional coordinates of all 5 atoms:
H  0.0000  0.5000  0.0000
Zr  0.0000  0.0000  0.0000
H  0.0000  0.0000  0.5000
Bi  0.5000  0.5000  0.5000
H  0.5000  0.0000  0.0000

4.
First-principles (GGA-PBE) data for Zr6Bi2H after structural relaxation, as listed in Alexandria via LeMat-Bulk.

**Polymorph energy (0 for the lowest one)**: 0.0 meV per atom
**Space group**: I4/mmm (139)

Unit cell a=6.2650 b=6.2640 c=9.4911 alpha=90.00 beta=90.01 gamma=90.00
Fractional coordinates of all 18 atoms:
H  0.0000  0.0000  0.5000
Zr  0.7526  0.2472  0.0001
Zr  0.2471  0.2474  0.9999
Bi  0.0001  0.5000  0.2500
Zr  0.2474  0.7528  0.9999
Bi  0.9999  0.5000  0.7500
Zr  0.7529  0.7526  0.0001
Bi  0.4999  0.0000  0.2500
Zr  0.0002  0.0000  0.7488
Bi  0.5001  0.0000  0.7500
Zr  0.2529  0.7474  0.5001
H  0.5000  0.5000  0.0000
Zr  0.9998  0.0000  0.2512
Zr  0.7474  0.7472  0.4999
Zr  0.7471  0.2526  0.4999
Zr  0.2526  0.2528  0.5001
Zr  0.4998  0.5000  0.7512
Zr  0.5002  0.5000  0.2488

5.
First-principles (GGA-PBE) data for Zr4Bi3H after structural relaxation, as listed in Alexandria via LeMat-Bulk.

**Polymorph energy (0 for the lowest one)**: 0.0 meV per atom
**Space group**: Pmn2_1 (31)

Unit cell a=5.6753 b=7.7793 c=9.0165 alpha=90.00 beta=90.00 gamma=90.00
Fractional coordinates of all 16 atoms:
Bi  0.0857  0.6215  0.2609
H  0.9281  0.1099  0.0000
H  0.4281  0.8901  0.5000
Bi  0.0857  0.6215  0.7391
Zr  0.0659  0.8805  0.5000
Bi  0.5857  0.3785  0.7609
Zr  0.5887  0.1259  0.5000
Zr  0.0861  0.2170  0.8168
Bi  0.0891  0.2646  0.5000
Bi  0.5891  0.7354  0.0000
Zr  0.5861  0.7830  0.6832
Zr  0.0887  0.8741  0.0000
Zr  0.5861  0.7830  0.3168
Zr  0.5659  0.1195  0.0000
Bi  0.5857  0.3785  0.2391
Zr  0.0861  0.2170  0.1832

6.
First-principles (GGA-PBE) data for Zr6Bi2H after structural relaxation, as listed in Alexandria via LeMat-Bulk.

**Polymorph energy (0 for the lowest one)**: 36.7 meV per atom
**Space group**: P2_1/c (14)

Unit cell a=5.9863 b=6.8807 c=9.4214 alpha=90.00 beta=90.13 gamma=90.00
Fractional coordinates of all 18 atoms:
Zr  0.1253  0.2874  0.0263
Zr  0.6271  0.4845  0.2500
Zr  0.8747  0.7126  0.9737
Zr  0.6254  0.2078  0.9740
Bi  0.3937  0.0916  0.2512
Zr  0.8746  0.7078  0.5260
Zr  0.3747  0.7874  0.4737
Zr  0.1254  0.2922  0.4740
Bi  0.6063  0.9084  0.7488
Zr  0.1271  0.0155  0.7500
Zr  0.3729  0.5155  0.7500
Bi  0.1063  0.5916  0.2488
Zr  0.8729  0.9845  0.2500
H  0.5000  0.5000  0.0000
Zr  0.3746  0.7922  0.0260
H  0.0000  0.0000  0.5000
Zr  0.6253  0.2126  0.5263
Bi  0.8937  0.4084  0.7512

7.
First-principles (GGA-PBE) data for ZrBiH after structural relaxation, as listed in Alexandria via LeMat-Bulk.

**Polymorph energy (0 for the lowest one)**: 0.0 meV per atom
**Space group**: P-6m2 (187)

Unit cell a=4.1441 b=3.8239 c=3.8239 alpha=120.00 beta=90.00 gamma=90.00
Fractional coordinates of all 3 atoms:
Bi  0.6666  0.3333  0.6667
Zr  0.1666  0.6667  0.3333
H  0.1668  0.0000  0.0000

8.
First-principles (GGA-PBE) data for ZrBi2H after structural relaxation, as listed in Alexandria via LeMat-Bulk.

**Polymorph energy (0 for the lowest one)**: 525.5 meV per atom
**Space group**: I-42d (122)

Unit cell a=6.9810 b=6.9810 c=6.0812 alpha=54.97 beta=54.97 gamma=90.00
Fractional coordinates of all 8 atoms:
Bi  0.5354  0.1250  0.2500
Zr  0.7500  0.2500  0.5000
Bi  0.3750  0.4646  0.7500
H  0.2500  0.7500  0.5000
Zr  0.0000  0.0000  0.0000
H  0.5000  0.5000  0.0000
Bi  0.2146  0.6250  0.2500
Bi  0.8750  0.7854  0.7500

9.
First-principles (GGA-PBE) data for Zr2BiH after structural relaxation, as listed in Alexandria via LeMat-Bulk.

**Polymorph energy (0 for the lowest one)**: 570.6 meV per atom
**Space group**: Fm-3m (225)

Unit cell a=4.8549 b=4.8549 c=4.8549 alpha=60.00 beta=60.00 gamma=60.00
Fractional coordinates of all 4 atoms:
Zr  0.7500  0.7500  0.7500
Zr  0.2500  0.2500  0.2500
H  0.0000  0.0000  0.0000
Bi  0.5000  0.5000  0.5000

10.
First-principles (GGA-PBE) data for ZrBiH3 after structural relaxation, as listed in Alexandria via LeMat-Bulk.

**Polymorph energy (0 for the lowest one)**: 910.5 meV per atom
**Space group**: Pm-3m (221)

Unit cell a=4.1356 b=4.1356 c=4.1356 alpha=90.00 beta=90.00 gamma=90.00
Site moments in Bohr magnetons follow the coordinates.
Fractional coordinates of all 5 atoms:
H  0.5000  0.0000  0.0000  0.00
H  0.0000  0.0000  0.5000  -0.01
Zr  0.5000  0.5000  0.5000  0.53
H  0.0000  0.5000  0.0000  0.00
Bi  0.0000  0.0000  0.0000  -0.01

11.
First-principles (GGA-PBE) data for Zr4Bi3H4 after structural relaxation, as listed in Alexandria via LeMat-Bulk.

**DFT total energy**: -60.2 eV/cell
**Space group**: Immm (71)

Unit cell a=3.6137 b=7.6418 c=8.3140 alpha=117.36 beta=102.55 gamma=90.00
Fractional coordinates of all 11 atoms:
Zr  0.1943  0.6943  0.3885
Zr  0.8057  0.3057  0.6115
Bi  0.8644  0.8644  0.7287
H  0.6463  0.5042  0.2926
H  0.6463  0.7884  0.2926
Zr  0.5000  0.2078  0.0000
Zr  0.5000  0.7922  0.0000
H  0.3537  0.2116  0.7074
Bi  0.1356  0.1356  0.2713
H  0.3537  0.4958  0.7074
Bi  0.0000  0.5000  0.0000

12.
First-principles (GGA-PBE) data for Zr2Bi3H after structural relaxation, as listed in Alexandria via LeMat-Bulk.

**DFT total energy**: -66.9 eV/cell
**Space group**: C2/m (12)

Unit cell a=3.8391 b=8.4680 c=10.0387 alpha=68.74 beta=78.98 gamma=76.90
Fractional coordinates of all 12 atoms:
Zr  0.8796  0.5198  0.7211
Zr  0.5830  0.2882  0.5457
Bi  0.7386  0.8908  0.6321
Bi  0.6668  0.6492  0.0172
Bi  0.3332  0.3508  0.9828
H  0.4378  0.4923  0.6321
Zr  0.4170  0.7118  0.4543
H  0.5622  0.5077  0.3679
Bi  0.2614  0.1092  0.3679
Bi  0.9649  0.8745  0.1956
Bi  0.0351  0.1255  0.8044
Zr  0.1204  0.4802  0.2789

13.
First-principles (GGA-PBE) data for Zr2BiH after structural relaxation, as listed in Alexandria via LeMat-Bulk.

**Polymorph energy (0 for the lowest one)**: 0.0 meV per atom
**Space group**: C2/m (12)

Unit cell a=4.2370 b=4.2370 c=8.2089 alpha=90.16 beta=90.16 gamma=90.00
Fractional coordinates of all 8 atoms:
Zr  0.7524  0.7524  0.8540
Bi  0.2518  0.2518  0.7828
Zr  0.7501  0.2499  0.5000
Bi  0.7482  0.7482  0.2172
Zr  0.2476  0.2476  0.1460
Zr  0.2499  0.7501  0.5000
H  0.2492  0.2492  0.4079
H  0.7508  0.7508  0.5921

14.
First-principles (GGA-PBE) data for Zr5BiH2 after structural relaxation, as listed in Alexandria via LeMat-Bulk.

**DFT total energy**: -54.0 eV/cell
**Space group**: I4/mmm (139)

Unit cell a=4.3599 b=4.3599 c=8.3660 alpha=105.10 beta=105.10 gamma=90.00
Fractional coordinates of all 8 atoms:
Zr  0.3476  0.8476  0.6952
Zr  0.8476  0.3476  0.6952
Zr  0.6524  0.1524  0.3048
H  0.1330  0.1330  0.2660
Bi  0.5000  0.5000  0.0000
Zr  0.1524  0.6524  0.3048
H  0.8670  0.8670  0.7340
Zr  0.0000  0.0000  0.0000

15.
First-principles (GGA-PBE) data for Zr3BiH3 after structural relaxation, as listed in Alexandria via LeMat-Bulk.

**Polymorph energy (0 for the lowest one)**: 0.0 meV per atom
**Space group**: Pm-3n (223)

Unit cell a=5.8422 b=5.8422 c=5.8422 alpha=90.00 beta=90.00 gamma=90.00
Fractional coordinates of all 14 atoms:
Bi  0.5000  0.5000  0.5000
H  0.5000  0.2500  0.0000
Zr  0.0000  0.2500  0.5000
H  0.0000  0.5000  0.2500
H  0.0000  0.5000  0.7500
H  0.2500  0.0000  0.5000
Zr  0.5000  0.0000  0.2500
H  0.5000  0.7500  0.0000
Zr  0.0000  0.7500  0.5000
Bi  0.0000  0.0000  0.0000
H  0.7500  0.0000  0.5000
Zr  0.7500  0.5000  0.0000
Zr  0.2500  0.5000  0.0000
Zr  0.5000  0.0000  0.7500

16.
First-principles (GGA-PBE) data for ZrBiH after structural relaxation, as listed in Alexandria via LeMat-Bulk.

**Polymorph energy (0 for the lowest one)**: 303.6 meV per atom
**Space group**: Imm2 (44)

Unit cell a=3.1898 b=3.2030 c=5.8963 alpha=105.76 beta=105.69 gamma=90.00
Fractional coordinates of all 3 atoms:
H  0.7261  0.7261  0.4521
Zr  0.2782  0.2782  0.5563
Bi  0.9958  0.9958  0.9915

17.
First-principles (GGA-PBE) data for ZrBiH after structural relaxation, as listed in Alexandria via LeMat-Bulk.

**Polymorph energy (0 for the lowest one)**: 47.7 meV per atom
**Space group**: R-3m (166)

Unit cell a=3.4005 b=3.4005 c=11.8695 alpha=81.76 beta=81.76 gamma=60.00
Fractional coordinates of all 6 atoms:
Zr  0.1260  0.1260  0.6219
Bi  0.3887  0.3887  0.8340
Bi  0.6113  0.6113  0.1660
H  0.1866  0.1866  0.4401
H  0.8134  0.8134  0.5599
Zr  0.8740  0.8740  0.3781

18.
First-principles (GGA-PBE) data for Zr5Bi2H after structural relaxation, as listed in Alexandria via LeMat-Bulk.

**DFT total energy**: -55.2 eV/cell
**Space group**: I4mm (107)

Unit cell a=6.4231 b=6.4231 c=6.2626 alpha=120.87 beta=120.87 gamma=90.00
Fractional coordinates of all 8 atoms:
Zr  0.2544  0.2544  0.0070
Zr  0.7517  0.7517  0.5033
Zr  0.7530  0.7530  0.0076
Bi  0.7524  0.2526  0.5050
Bi  0.2526  0.7524  0.5050
Zr  0.7527  0.2545  0.0072
H  0.0057  0.0057  0.0116
Zr  0.2545  0.7527  0.0072

19.
First-principles (GGA-PBE) data for Zr2BiH after structural relaxation, as listed in Alexandria via LeMat-Bulk.

**Polymorph energy (0 for the lowest one)**: 178.5 meV per atom
**Space group**: R-3m (166)

Unit cell a=3.4595 b=3.4595 c=7.5328 alpha=76.72 beta=76.72 gamma=60.00
Fractional coordinates of all 4 atoms:
Zr  0.2783  0.2783  0.1651
Bi  0.5000  0.5000  0.5000
Zr  0.7217  0.7217  0.8349
H  0.0000  0.0000  0.0000

20.
First-principles (GGA-PBE) data for Zr4BiH2 after structural relaxation, as listed in Alexandria via LeMat-Bulk.

**DFT total energy**: -93.1 eV/cell
**Space group**: Cmcm (63)

Unit cell a=3.8257 b=5.9319 c=11.3557 alpha=90.00 beta=90.00 gamma=108.81
Fractional coordinates of all 14 atoms:
H  0.8971  0.7942  0.9457
Zr  0.7835  0.5670  0.4051
Zr  0.2165  0.4330  0.9051
Bi  0.5928  0.1856  0.7500
Zr  0.1135  0.2270  0.2500
H  0.1029  0.2058  0.0543
H  0.8971  0.7942  0.5543
Zr  0.5000  0.0000  0.0000
Zr  0.5000  0.0000  0.5000
Zr  0.8865  0.7730  0.7500
Zr  0.7835  0.5670  0.0949
Bi  0.4072  0.8144  0.2500
H  0.1029  0.2058  0.4457
Zr  0.2165  0.4330  0.5949